{
  "formula": "TaZn2Au",
  "functional": "PBE-GGA",
  "state": "relaxed",
  "e_form_ev_per_fu": 0.017,
  "density_g_cm3": 13.02,
  "e_above_lowest_polymorph_mev_per_atom": 88.6,
  "magmom_total_mub_per_cell": 0.00,
  "lattice": [[4.069, 0.000, 0.000], [0.000, 4.069, 0.000], [0.000, 0.000, 3.918]],
  "species": ["Ta", "Zn", "Zn", "Au"],
  "fractional_positions": [[0.000, 0.000, 0.000], [0.000, 0.500, 0.500], [0.500, 0.000, 0.500], [0.500, 0.500, 0.000]]
}


{
  "formula": "TaZnAu2",
  "functional": "PBE-GGA",
  "state": "relaxed",
  "e_form_ev_per_fu": 0.160,
  "density_g_cm3": 15.30,
  "magmom_total_mub_per_cell": 0.00,
  "lattice": [[4.590, -1.407, 0.000], [4.590, 1.407, 0.000], [-0.781, 0.000, 5.379]],
  "species": ["Ta", "Zn", "Au", "Au"],
  "fractional_positions": [[0.000, 0.000, 0.000], [0.500, 0.500, 0.500], [0.248, 0.248, 0.750], [0.752, 0.752, 0.250]]
}


{
  "formula": "TaZn2Au",
  "functional": "PBE-GGA",
  "state": "relaxed",
  "e_form_ev_per_fu": -0.295,
  "density_g_cm3": 13.09,
  "e_above_lowest_polymorph_mev_per_atom": 10.5,
  "magmom_total_mub_per_cell": 0.00,
  "lattice": [[2.935, 0.000, 0.000], [0.000, 2.935, 0.000], [0.000, 0.000, 7.488]],
  "species": ["Ta", "Zn", "Zn", "Au"],
  "fractional_positions": [[0.000, 0.000, 0.000], [0.000, 0.000, 0.476], [0.500, 0.500, 0.249], [0.500, 0.500, 0.725]]
}


{
  "formula": "TaZnAu4",
  "functional": "PBE-GGA",
  "state": "relaxed",
  "e_form_ev_per_fu": 2.522,
  "density_g_cm3": 15.23,
  "magmom_total_mub_per_cell": 0.75,
  "lattice": [[0.000, 3.834, 3.834], [3.834, 0.000, 3.834], [3.834, 3.834, 0.000]],
  "species": ["Ta", "Zn", "Au", "Au", "Au", "Au"],
  "fractional_positions": [[0.000, 0.000, 0.000], [0.750, 0.750, 0.750], [0.375, 0.375, 0.375], [0.375, 0.375, 0.875], [0.375, 0.875, 0.375], [0.875, 0.375, 0.375]]
}


{
  "formula": "TaZnAu2",
  "functional": "PBE-GGA",
  "state": "relaxed",
  "e_form_ev_per_fu": 0.053,
  "density_g_cm3": 15.40,
  "magmom_total_mub_per_cell": 0.00,
  "lattice": [[4.688, -1.432, 0.000], [4.688, 1.432, 0.000], [-0.851, 0.000, 5.142]],
  "species": ["Ta", "Zn", "Au", "Au"],
  "fractional_positions": [[0.000, 0.000, 0.000], [0.253, 0.253, 0.717], [0.509, 0.509, 0.512], [0.750, 0.750, 0.213]]
}


{
  "formula": "TaZn2Au",
  "functional": "PBE-GGA",
  "state": "relaxed",
  "e_form_ev_per_fu": 0.303,
  "density_g_cm3": 12.71,
  "e_above_lowest_polymorph_mev_per_atom": 160.1,
  "magmom_total_mub_per_cell": 0.00,
  "lattice": [[2.939, -4.203, 0.000], [2.939, 4.203, 0.000], [0.000, 0.000, 2.691]],
  "species": ["Ta", "Zn", "Zn", "Au"],
  "fractional_positions": [[0.000, 0.000, 0.000], [0.000, 0.500, 0.500], [0.500, 0.000, 0.500], [0.500, 0.500, 0.000]]
}


{
  "formula": "TaZn2Au",
  "functional": "PBE-GGA",
  "state": "relaxed",
  "e_form_ev_per_fu": 0.254,
  "density_g_cm3": 12.75,
  "e_above_lowest_polymorph_mev_per_atom": 147.6,
  "magmom_total_mub_per_cell": 0.00,
  "lattice": [[4.517, -1.447, 0.000], [4.517, 1.447, 0.000], [-0.844, 0.000, 5.069]],
  "species": ["Ta", "Zn", "Zn", "Au"],
  "fractional_positions": [[0.000, 0.000, 0.000], [0.248, 0.248, 0.728], [0.504, 0.504, 0.515], [0.752, 0.752, 0.248]]
}


{
  "formula": "TaZnAu2",
  "functional": "PBE-GGA",
  "state": "relaxed",
  "e_form_ev_per_fu": -0.488,
  "density_g_cm3": 15.62,
  "magmom_total_mub_per_cell": 0.00,
  "lattice": [[2.973, 0.000, 0.000], [0.000, 2.973, 0.000], [0.000, 0.000, 7.699]],
  "species": ["Ta", "Zn", "Au", "Au"],
  "fractional_positions": [[0.000, 0.000, 0.000], [0.000, 0.000, 0.500], [0.500, 0.500, 0.258], [0.500, 0.500, 0.742]]
}


{
  "formula": "TaZnAu2",
  "functional": "PBE-GGA",
  "state": "relaxed",
  "e_form_ev_per_fu": -0.087,
  "density_g_cm3": 15.43,
  "magmom_total_mub_per_cell": 0.00,
  "lattice": [[2.892, 0.000, 0.000], [0.000, 3.988, 0.000], [0.000, 0.000, 5.975]],
  "species": ["Ta", "Zn", "Au", "Au"],
  "fractional_positions": [[0.000, 0.000, 0.000], [0.000, 0.000, 0.500], [0.500, 0.500, 0.249], [0.500, 0.500, 0.751]]
}


{
  "formula": "TaZnAu2",
  "functional": "PBE-GGA",
  "state": "relaxed",
  "e_form_ev_per_fu": 0.642,
  "density_g_cm3": 15.21,
  "magmom_total_mub_per_cell": 0.00,
  "lattice": [[2.852, 0.000, 0.000], [0.000, 4.932, 0.000], [0.000, 0.000, 4.970]],
  "species": ["Ta", "Zn", "Au", "Au"],
  "fractional_positions": [[0.000, 0.000, 0.000], [0.500, 0.000, 0.500], [0.000, 0.500, 0.500], [0.500, 0.500, 0.000]]
}


{
  "formula": "TaZn2Au",
  "functional": "PBE-GGA",
  "state": "relaxed",
  "e_form_ev_per_fu": -0.007,
  "density_g_cm3": 13.02,
  "e_above_lowest_polymorph_mev_per_atom": 82.5,
  "magmom_total_mub_per_cell": 0.00,
  "lattice": [[2.820, 0.000, 0.000], [0.000, 4.201, 0.000], [-1.394, 0.000, 5.478]],
  "species": ["Ta", "Zn", "Zn", "Au"],
  "fractional_positions": [[0.000, 0.000, 0.000], [0.612, 0.500, 0.225], [0.738, 0.000, 0.481], [0.357, 0.500, 0.715]]
}


{
  "formula": "TaZn2Au",
  "functional": "PBE-GGA",
  "state": "relaxed",
  "e_form_ev_per_fu": -0.337,
  "density_g_cm3": 13.03,
  "e_above_lowest_polymorph_mev_per_atom": 0.0,
  "magmom_total_mub_per_cell": 0.00,
  "lattice": [[2.897, 0.000, 0.000], [0.000, 2.897, 0.000], [0.000, 0.000, 7.724]],
  "species": ["Ta", "Zn", "Zn", "Au"],
  "fractional_positions": [[0.000, 0.000, 0.000], [0.500, 0.500, 0.255], [0.500, 0.500, 0.745], [0.000, 0.000, 0.500]]
}